Run one
## Sm2HgPt (PBE)

Data for Sm2HgPt after structural relaxation.

Magnetic moment: 0.0 μB per cell
Crystal system: trigonal
Space group: No. 164

```
Sm2HgPt
1.0
4.220 0.000 0.000
-2.110 3.655 0.000
0.000 0.000 7.454
Sm Hg Pt
2 1 1
direct
0.333 0.667 0.205
0.667 0.333 0.795
0.000 0.000 0.500
0.000 0.000 0.000
```



Run two
## Sm2HgPt (PBE)

Data for Sm2HgPt after structural relaxation.

Magnetic moment: 0.0 μB per cell
Crystal system: trigonal
Space group: No. 160

```
Sm2HgPt
1.0
4.201 0.000 0.000
-2.100 3.638 0.000
0.000 0.000 22.510
Sm Hg Pt
6 3 3
direct
0.000 0.000 0.000
0.000 0.000 0.195
0.333 0.667 0.667
0.333 0.667 0.862
0.667 0.333 0.333
0.667 0.333 0.528
0.000 0.000 0.764
0.333 0.667 0.431
0.667 0.333 0.097
0.000 0.000 0.599
0.333 0.667 0.265
0.667 0.333 0.932
```



Run three
## Sm2HgPt (PBE)

Data for Sm2HgPt after structural relaxation.

Magnetic moment: 0.0 μB per cell
Crystal system: orthorhombic
Space group: No. 51

```
Sm2HgPt
1.0
7.287 0.000 0.000
0.000 3.651 0.000
0.000 0.000 7.511
Sm Hg Pt
4 2 2
direct
0.005 0.000 0.226
0.495 0.000 0.226
0.505 0.000 0.774
0.995 0.000 0.774
0.250 0.500 0.511
0.750 0.500 0.489
0.250 0.500 0.974
0.750 0.500 0.026
```



Run four
## Sm2HgPt (PBE)

Data for Sm2HgPt after structural relaxation.

Magnetic moment: 0.0 μB per cell
Crystal system: trigonal
Space group: No. 166

```
Sm2HgPt
1.0
4.137 0.000 0.000
-2.068 3.582 0.000
0.000 0.000 23.112
Sm Hg Pt
6 3 3
direct
0.000 0.000 0.236
0.000 0.000 0.764
0.333 0.667 0.430
0.333 0.667 0.903
0.667 0.333 0.097
0.667 0.333 0.570
0.000 0.000 0.000
0.333 0.667 0.667
0.667 0.333 0.333
0.000 0.000 0.500
0.333 0.667 0.167
0.667 0.333 0.833
```



Most stable = run three



Run one
## Sm2HgPt (PBE)

Data for Sm2HgPt after structural relaxation.

Magnetic moment: 0.0 μB per cell
Crystal system: cubic
Space group: No. 225

```
Sm2HgPt
1.0
7.348 0.000 0.000
0.000 7.348 0.000
0.000 0.000 7.348
Sm Hg Pt
8 4 4
direct
0.250 0.250 0.250
0.250 0.250 0.750
0.250 0.750 0.250
0.250 0.750 0.750
0.750 0.250 0.250
0.750 0.250 0.750
0.750 0.750 0.250
0.750 0.750 0.750
0.000 0.000 0.000
0.000 0.500 0.500
0.500 0.000 0.500
0.500 0.500 0.000
0.000 0.000 0.500
0.000 0.500 0.000
0.500 0.000 0.000
0.500 0.500 0.500
```



Run two
## Sm2HgPt (PBE)

Data for Sm2HgPt after structural relaxation.

Magnetic moment: 0.0 μB per cell
Crystal system: tetragonal
Space group: No. 123

```
Sm2HgPt
1.0
3.647 0.000 0.000
0.000 3.647 0.000
0.000 0.000 7.514
Sm Hg Pt
2 1 1
direct
0.000 0.000 0.226
0.000 0.000 0.774
0.500 0.500 0.500
0.500 0.500 0.000
```



Most stable = run two



Run one
## SnHg2Pt2 (PBE)

Data for SnHg2Pt2 after structural relaxation.

Magnetic moment: 0.0 μB per cell
Crystal system: tetragonal
Space group: No. 127

```
SnHg2Pt2
1.0
7.184 0.000 0.000
0.000 7.184 0.000
0.000 0.000 3.912
Sn Hg Pt
2 4 4
direct
0.000 0.000 0.000
0.500 0.500 0.000
0.156 0.344 0.500
0.344 0.844 0.500
0.656 0.156 0.500
0.844 0.656 0.500
0.145 0.645 0.000
0.355 0.145 0.000
0.645 0.855 0.000
0.855 0.355 0.000
```



Run two
## SnHg2Pt2 (PBE)

Data for SnHg2Pt2 after structural relaxation.

Magnetic moment: 0.0 μB per cell
Crystal system: tetragonal
Space group: No. 139

```
SnHg2Pt2
1.0
3.941 0.000 0.000
0.000 3.941 0.000
0.000 0.000 13.740
Sn Hg Pt
2 4 4
direct
0.000 0.000 0.000
0.500 0.500 0.500
0.000 0.500 0.250
0.000 0.500 0.750
0.500 0.000 0.250
0.500 0.000 0.750
0.000 0.000 0.405
0.000 0.000 0.595
0.500 0.500 0.095
0.500 0.500 0.905
```



Most stable = run one



Run one
## Sr4Hg2Pt (PBE)

Data for Sr4Hg2Pt after structural relaxation.

Magnetic moment: 0.0 μB per cell
Crystal system: tetragonal
Space group: No. 139

```
Sr4Hg2Pt
1.0
5.644 0.000 0.000
0.000 5.644 0.000
0.000 0.000 18.853
Sr Hg Pt
8 4 2
direct
0.000 0.000 0.183
0.000 0.000 0.817
0.000 0.500 0.000
0.000 0.500 0.500
0.500 0.000 0.000
0.500 0.000 0.500
0.500 0.500 0.317
0.500 0.500 0.683
0.000 0.000 0.355
0.000 0.000 0.645
0.500 0.500 0.145
0.500 0.500 0.855
0.000 0.000 0.500
0.500 0.500 0.000
```



Run two
## Sr4Hg2Pt (PBE)

Data for Sr4Hg2Pt after structural relaxation.

Magnetic moment: 0.0 μB per cell
Crystal system: monoclinic
Space group: No. 12

```
Sr4Hg2Pt
1.0
16.192 0.000 0.000
0.000 4.773 0.000
-1.729 0.000 6.596
Sr Hg Pt
8 4 2
direct
0.080 0.000 0.267
0.150 0.500 0.820
0.350 0.000 0.180
0.420 0.500 0.733
0.580 0.500 0.267
0.650 0.000 0.820
0.850 0.500 0.180
0.920 0.000 0.733
0.236 0.500 0.345
0.264 0.000 0.655
0.736 0.000 0.345
0.764 0.500 0.655
0.000 0.500 0.000
0.500 0.000 0.000
```



Most stable = run two



Run one
## SrHgPt3 (PBE)

Data for SrHgPt3 after structural relaxation.

Magnetic moment: 0.0 μB per cell
Crystal system: cubic
Space group: No. 221

```
SrHgPt3
1.0
5.250 0.000 0.000
0.000 5.250 0.000
0.000 0.000 5.250
Sr Hg Pt
1 1 3
direct
0.000 0.000 0.000
0.500 0.500 0.500
0.000 0.000 0.500
0.000 0.500 0.000
0.500 0.000 0.000
```



Run two
## SrHgPt3 (PBE)

Data for SrHgPt3 after structural relaxation.

Magnetic moment: 0.0 μB per cell
Crystal system: cubic
Space group: No. 221

```
SrHgPt3
1.0
5.095 0.000 0.000
0.000 5.095 0.000
0.000 0.000 5.095
Sr Hg Pt
1 1 3
direct
0.000 0.000 0.000
0.500 0.500 0.500
0.000 0.500 0.500
0.500 0.000 0.500
0.500 0.500 0.000
```



Most stable = run two



Run one
## Sr4HgPt (PBE)

Data for Sr4HgPt after structural relaxation.

Magnetic moment: 0.0 μB per cell
Crystal system: cubic
Space group: No. 216

```
Sr4HgPt
1.0
0.000 4.747 4.747
4.747 0.000 4.747
4.747 4.747 0.000
Sr Hg Pt
4 1 1
direct
0.376 0.376 0.376
0.376 0.376 0.873
0.376 0.873 0.376
0.873 0.376 0.376
0.000 0.000 0.000
0.750 0.750 0.750
```



Run two
## Sr4HgPt (PBE)

Data for Sr4HgPt after structural relaxation.

Magnetic moment: 0.0 μB per cell
Crystal system: triclinic
Space group: No. 2

```
Sr4HgPt
1.0
7.550 0.000 0.000
0.003 7.903 0.000
3.770 2.941 8.084
Sr Hg Pt
8 2 2
direct
0.033 0.488 0.296
0.172 0.988 0.296
0.277 0.860 0.829
0.394 0.360 0.829
0.606 0.640 0.171
0.723 0.140 0.171
0.828 0.012 0.704
0.967 0.512 0.704
0.287 0.250 0.500
0.713 0.750 0.500
0.000 0.500 0.000
0.500 0.000 0.000
```



Most stable = run two



Run one
## SrTlHg2Pt (PBE)

Data for SrTlHg2Pt after structural relaxation.

Magnetic moment: 0.0 μB per cell
Crystal system: tetragonal
Space group: No. 123

```
SrTlHg2Pt
1.0
5.351 0.000 0.000
0.000 5.351 0.000
0.000 0.000 5.638
Sr Tl Hg Pt
1 1 2 1
direct
0.000 0.000 0.000
0.500 0.500 0.000
0.000 0.500 0.500
0.500 0.000 0.500
0.000 0.000 0.500
```



Run two
## SrTlHg2Pt (PBE)

Data for SrTlHg2Pt after structural relaxation.

Magnetic moment: 0.0 μB per cell
Crystal system: tetragonal
Space group: No. 123

```
SrTlHg2Pt
1.0
5.340 0.000 0.000
0.000 5.340 0.000
0.000 0.000 5.250
Sr Tl Hg Pt
1 1 2 1
direct
0.000 0.000 0.000
0.500 0.500 0.000
0.000 0.500 0.500
0.500 0.000 0.500
0.500 0.500 0.500
```



Most stable = run one



Run one
## Ta2HgPt2 (PBE)

Data for Ta2HgPt2 after structural relaxation.

Magnetic moment: 0.0 μB per cell
Crystal system: tetragonal
Space group: No. 127

```
Ta2HgPt2
1.0
7.901 0.000 0.000
0.000 7.901 0.000
0.000 0.000 2.897
Ta Hg Pt
4 2 4
direct
0.168 0.332 0.000
0.332 0.832 0.000
0.668 0.168 0.000
0.832 0.668 0.000
0.000 0.000 0.500
0.500 0.500 0.500
0.126 0.626 0.500
0.374 0.126 0.500
0.626 0.874 0.500
0.874 0.374 0.500
```



Run two
## Ta2HgPt2 (PBE)

Data for Ta2HgPt2 after structural relaxation.

Magnetic moment: 0.0 μB per cell
Crystal system: tetragonal
Space group: No. 139

```
Ta2HgPt2
1.0
4.167 0.000 0.000
0.000 4.167 0.000
0.000 0.000 11.575
Ta Hg Pt
4 2 4
direct
0.000 0.500 0.250
0.000 0.500 0.750
0.500 0.000 0.250
0.500 0.000 0.750
0.000 0.000 0.000
0.500 0.500 0.500
0.000 0.000 0.390
0.000 0.000 0.610
0.500 0.500 0.110
0.500 0.500 0.890
```



Most stable = run one